# 1
The following is a DFT calculation (PBE-GGA) of AlCdOF2 after structural relaxation.

Energy above the most stable polymorph in this dataset   1163 meV per atom
Electronic total energy   -0.2715 Ry/atom
ΔE_f (raw)   -1.0218 eV per atom

CIF file:
```
data_AlCdOF2
_symmetry_space_group_name_H-M 'P 4/m m m'
_symmetry_Int_Tables_number 123
_symmetry_space_group_name_Hall '-P 4 2'
_cell_length_a 4.337
_cell_length_b 4.337
_cell_length_c 4.383
_cell_angle_alpha 90.00
_cell_angle_beta 90.00
_cell_angle_gamma 90.00
loop_
_atom_site_label
_atom_site_type_symbol
_atom_site_fract_x
_atom_site_fract_y
_atom_site_fract_z
Al1 Al 0.000 0.000 0.000
Cd1 Cd 0.500 0.500 0.500
O1 O 0.500 0.500 0.000
F1 F 0.000 0.500 0.500
```

***

# 2
The following is a DFT calculation (PBE-GGA) of AlCdOF2 after structural relaxation.

Energy above the most stable polymorph in this dataset   0 meV per atom
Electronic total energy   -0.3569 Ry/atom
ΔE_f (raw)   -2.1844 eV per atom

CIF file:
```
data_AlCdOF2
_symmetry_space_group_name_H-M 'P 4/m m m'
_symmetry_Int_Tables_number 123
_symmetry_space_group_name_Hall '-P 4 2'
_cell_length_a 4.071
_cell_length_b 4.071
_cell_length_c 3.589
_cell_angle_alpha 90.00
_cell_angle_beta 90.00
_cell_angle_gamma 90.00
loop_
_atom_site_label
_atom_site_type_symbol
_atom_site_fract_x
_atom_site_fract_y
_atom_site_fract_z
Al1 Al 0.000 0.000 0.000
Cd1 Cd 0.500 0.500 0.500
O1 O 0.000 0.000 0.500
F1 F 0.000 0.500 0.000
```

***

# 3
The following is a DFT calculation (PBE-GGA) of AlCdOF2 after structural relaxation.

Energy above the most stable polymorph in this dataset   1701 meV per atom
Electronic total energy   -0.2319 Ry/atom
ΔE_f (raw)   -0.4831 eV per atom

CIF file:
```
data_AlCdOF2
_symmetry_space_group_name_H-M 'P 4/m m m'
_symmetry_Int_Tables_number 123
_symmetry_space_group_name_Hall '-P 4 2'
_cell_length_a 4.871
_cell_length_b 4.871
_cell_length_c 3.862
_cell_angle_alpha 90.00
_cell_angle_beta 90.00
_cell_angle_gamma 90.00
loop_
_atom_site_label
_atom_site_type_symbol
_atom_site_fract_x
_atom_site_fract_y
_atom_site_fract_z
Al1 Al 0.000 0.000 0.000
Cd1 Cd 0.500 0.500 0.000
O1 O 0.500 0.500 0.500
F1 F 0.000 0.500 0.500
```

***

Mass density
In order: 3.896; 5.401; 3.504
Unit: g cm⁻³